(1)
DFT (PBE) results for a geometry-optimized Tb2GdIn3Ir2Au structure.

It has space group Amm2 (No. 38), with a = 3.929 Å, b = 13.277 Å, c = 7.653 Å, α = 90.00°, β = 90.00° and γ = 90.00°. The inequivalent atoms are Tb at (0.000, 0.204, 0.000), Gd at (0.000, 0.000, 0.613), In at (0.500, 0.000, 0.938), In at (0.500, 0.134, 0.338), Ir at (0.500, 0.167, 0.705) and Au at (0.000, 0.000, 0.204).

The calculation puts the total DFT energy (no corrections) at -98.85 eV/cell.

=====

(2)
DFT (PBE) results for a geometry-optimized NaGa2AgTe4 structure.

It has space group I-4 (No. 82), with a = 6.637 Å, b = 6.637 Å, c = 12.107 Å, α = 90.00°, β = 90.00° and γ = 90.00°. The inequivalent atoms are Na at (0.000, 0.000, 0.000), Ga at (0.000, 0.000, 0.500), Ga at (0.000, 0.500, 0.750), Ag at (0.000, 0.500, 0.250) and Te at (0.218, 0.239, 0.630).

The calculation puts the total DFT energy (no corrections) at -52.28 eV/cell.

=====

(3)
DFT (PBE) results for a geometry-optimized Zn2AgAu structure.

It has space group P4/mmm (No. 123), with a = 4.214 Å, b = 4.214 Å, c = 3.639 Å, α = 90.00°, β = 90.00° and γ = 90.00°. The inequivalent atoms are Zn at (0.000, 0.500, 0.000), Ag at (0.000, 0.000, 0.500) and Au at (0.500, 0.500, 0.500).

The calculation puts the total DFT energy (no corrections) at -9.19 eV/cell. As for the formation energy from the elements: -0.6 eV/f.u.